1.
Material: Li5Zn2Ag5
Method: DFT, GGA-PBE
State: optimized geometry

Values from the calculation:
- formation energy (eV/atom) = -0.18
- polymorph energy (0 for the lowest one) (kJ per mole of atoms) = 0.2
- raw total energy (eV per atom) = -2.38

Lattice parameters (Å, degrees): 4.9482 4.8597 9.9853 74.84 96.09 60.27
Element x y z (fractional)
Li1 0.6697 0.6584 0.0010
Li2 0.3303 0.3416 0.9990
Ag1 0.8344 0.5854 0.7554
Ag2 0.0000 0.0000 0.0000
Li3 0.5034 0.2624 0.7442
Li4 0.0000 0.5000 0.5000
Li5 0.4966 0.7376 0.2558
Ag3 0.1656 0.4146 0.2446
Zn1 0.1635 0.9193 0.7526
Ag4 0.3255 0.8377 0.4992
Ag5 0.6745 0.1623 0.5008
Zn2 0.8365 0.0807 0.2474

=====

2.
Material: LiZnAg2
Method: DFT, GGA-PBE
State: optimized geometry

Values from the calculation:
- formation energy (eV/atom) = 0.04
- raw total energy (eV per atom) = -2.18

Lattice parameters (Å, degrees): 3.9334 3.9334 9.8035 78.43 78.43 90.00
Element x y z (fractional)
Ag1 0.6279 0.1250 0.2500
Ag2 0.3750 0.3721 0.7500
Ag3 0.1221 0.6250 0.2500
Ag4 0.8750 0.8779 0.7500
Zn1 0.7500 0.2500 0.5000
Zn2 0.0000 0.0000 0.0000
Li1 0.2500 0.7500 0.5000
Li2 0.5000 0.5000 0.0000